Record 1
An optimized crystal structure of AcLa2Pr6, computed with PBE.

Its uncorrected energy is -4.013 eV/atom. Its energy of formation is 0.725 eV/atom. The value obtained for the magnetic moment is 0.000 μB/atom.

The structure belongs to space group P4_2/mnm (No. 136); the cell edges are 6.444, 6.444 and 18.325 Å and the angles 90.00°, 90.00° and 90.00°. The inequivalent atoms are Ac at (0.000, 0.000, 0.000), La at (0.000, 0.000, 0.352), Pr at (0.168, 0.168, 0.500) and Pr at (0.179, 0.179, 0.182).

Record 2
An optimized crystal structure of CaAsHPd2, computed with PBE.

Its uncorrected energy is -4.781 eV/atom. The value obtained for the magnetic moment is 0.000 μB/atom.

The structure belongs to space group Cmcm (No. 63); the cell edges are 3.953, 10.995 and 7.352 Å and the angles 90.00°, 90.00° and 90.00°. The inequivalent atoms are Ca at (0.000, 0.046, 0.250), As at (0.000, 0.233, 0.750), H at (0.000, 0.500, 0.000) and Pd at (0.000, 0.342, 0.053).

Record 3
An optimized crystal structure of HfTe2Pd, computed with PBE.

The uncorrected formation energy is -121 kJ/mol of formula units. Its uncorrected energy is -5.672 eV/atom. The value obtained for the magnetic moment is 0.000 μB/atom.

The structure belongs to space group I-42d (No. 122); the cell edges are 6.294, 6.294 and 12.591 Å and the angles 90.00°, 90.00° and 90.00°. The inequivalent atoms are Hf at (0.000, 0.000, 0.000), Te at (0.238, 0.250, 0.625) and Pd at (0.000, 0.000, 0.500).

Record 4
An optimized crystal structure of AcCePaN4, computed with PBE.

The uncorrected formation energy is -838 kJ/mol of formula units. Its uncorrected energy is -8.789 eV/atom. The value obtained for the magnetic moment is 0.025 μB/atom.

The structure belongs to space group Cmcm (No. 63); the cell edges are 6.179, 12.988 and 6.230 Å and the angles 90.00°, 90.00° and 90.00°. The inequivalent atoms are Ac at (0.000, 0.104, 0.250), Ce at (0.000, 0.399, 0.250), Pa at (0.000, 0.251, 0.750), N at (0.000, 0.080, 0.750), N at (0.000, 0.444, 0.750) and N at (0.250, 0.250, 0.000).

Record 5
An optimized crystal structure of HgSIN2, computed with PBE.

The uncorrected formation energy is 921 kJ/mol of formula units. Its uncorrected energy is -2.616 eV/atom. The value obtained for the magnetic moment is 0.791 μB/atom.

The structure belongs to space group P4/mmm (No. 123); the cell edges are 4.295, 4.295 and 6.162 Å and the angles 90.00°, 90.00° and 90.00°. The inequivalent atoms are Hg at (0.000, 0.000, 0.000), S at (0.000, 0.000, 0.500), I at (0.500, 0.500, 0.500) and N at (0.000, 0.500, 0.000).

Record 6
An optimized crystal structure of Rb2ZnSBr6, computed with PBE.

The uncorrected formation energy is -839 kJ/mol of formula units. Its uncorrected energy is -2.607 eV/atom. The value obtained for the magnetic moment is 0.000 μB/atom.

The structure belongs to space group I4/mmm (No. 139); the cell edges are 7.730, 7.730 and 11.395 Å and the angles 90.00°, 90.00° and 90.00°. The inequivalent atoms are Rb at (0.000, 0.500, 0.250), Zn at (0.000, 0.000, 0.000), S at (0.000, 0.000, 0.500), Br at (0.000, 0.000, 0.204) and Br at (0.230, 0.230, 0.500).

Record 7
An optimized crystal structure of PtPb2, computed with PBE.

Its uncorrected energy is -4.602 eV/atom. Its energy of formation is -0.116 eV/atom. The value obtained for the magnetic moment is 0.000 μB/atom.

The structure belongs to space group I4_1/amd (No. 141, origin choice 2); the cell edges are 3.450, 3.450 and 26.264 Å and the angles 90.00°, 90.00° and 90.00°. The inequivalent atoms are Pt at (0.000, 0.250, 0.375) and Pb at (0.000, 0.250, 0.810).

Record 8
An optimized crystal structure of SiAg3Cl, computed with PBE.

The uncorrected formation energy is 198 kJ/mol of formula units. Its uncorrected energy is -2.755 eV/atom. The value obtained for the magnetic moment is 0.000 μB/atom.

The structure belongs to space group Pm-3m (No. 221); the cell edges are 4.886, 4.886 and 4.886 Å and the angles 90.00°, 90.00° and 90.00°. The inequivalent atoms are Si at (0.000, 0.000, 0.000), Ag at (0.000, 0.000, 0.500) and Cl at (0.500, 0.500, 0.500).

Record 9
An optimized crystal structure of ZnTeAs2, computed with PBE.

The uncorrected formation energy is 75 kJ/mol of formula units. Its uncorrected energy is -3.233 eV/atom. The value obtained for the magnetic moment is 0.000 μB/atom.

The structure belongs to space group I-42d (No. 122); the cell edges are 5.958, 5.958 and 12.895 Å and the angles 90.00°, 90.00° and 90.00°. The inequivalent atoms are Zn at (0.000, 0.000, 0.000), Te at (0.000, 0.000, 0.500) and As at (0.202, 0.250, 0.125).

Record 10
An optimized crystal structure of TcMo, computed with PBE.

Its uncorrected energy is -9.682 eV/atom. Its energy of formation is 0.917 eV/atom. The value obtained for the magnetic moment is 0.000 μB/atom.

The structure belongs to space group P4_2/mnm (No. 136); the cell edges are 5.214, 5.214 and 4.932 Å and the angles 90.00°, 90.00° and 90.00°. The inequivalent atoms are Tc at (0.196, 0.196, 0.000) and Mo at (0.199, 0.199, 0.500).

Record 11
An optimized crystal structure of CaPu2Ir9, computed with PBE.

Its uncorrected energy is -9.562 eV/atom. Its energy of formation is -0.361 eV/atom. The value obtained for the magnetic moment is 0.648 μB/atom.

The structure belongs to space group R-3m (No. 166, hexagonal axes); the cell edges are 5.3107, 5.3107 and 26.3134 Å and the angles 90.00°, 90.00° and 120.00°. The inequivalent atoms are Ca at (0.0000, 0.0000, 0.0000), Pu at (0.0000, 0.0000, 0.1391), Ir at (0.0000, 0.0000, 0.3330), Ir at (0.0000, 0.0000, 0.5000) and Ir at (0.0019, 0.5010, 0.9170).

Record 12
An optimized crystal structure of MnFe4N, computed with PBE.

The uncorrected formation energy is 149 kJ/mol of formula units. Its uncorrected energy is -8.301 eV/atom. The value obtained for the magnetic moment is 1.135 μB/atom.

The structure belongs to space group Pmna (No. 53); the cell edges are 4.637, 4.803 and 5.828 Å and the angles 90.00°, 90.00° and 90.00°. The inequivalent atoms are Mn at (0.000, 0.000, 0.000), Fe at (0.000, 0.166, 0.362), Fe at (0.250, 0.345, 0.750) and N at (0.000, 0.500, 0.500).

Record 13
An optimized crystal structure of Tb4AgOs, computed with PBE.

Its uncorrected energy is -5.673 eV/atom. Its energy of formation is -0.239 eV/atom. The value obtained for the magnetic moment is 0.000 μB/atom.

The structure belongs to space group F-43m (No. 216); the cell edges are 13.574, 13.574 and 13.574 Å and the angles 90.00°, 90.00° and 90.00°. The inequivalent atoms are Tb at (0.000, 0.000, 0.191), Tb at (0.059, 0.250, 0.250), Tb at (0.152, 0.152, 0.652), Ag at (0.082, 0.082, 0.418) and Os at (0.139, 0.139, 0.861).

Record 14
An optimized crystal structure of Ac3PdN, computed with PBE.

The uncorrected formation energy is -318 kJ/mol of formula units. Its uncorrected energy is -5.828 eV/atom. The value obtained for the magnetic moment is 0.000 μB/atom.

The structure belongs to space group C2/m (No. 12); the cell edges are 13.719, 10.586 and 4.310 Å and the angles 90.00°, 90.89° and 90.00°. The inequivalent atoms are Ac at (0.114, 0.000, 0.272), Ac at (0.123, 0.311, 0.725), Pd at (0.213, 0.500, 0.260) and N at (0.000, 0.161, 0.500).

Record 15
An optimized crystal structure of Hf2AsBr, computed with PBE.

The uncorrected formation energy is -186 kJ/mol of formula units. Its uncorrected energy is -7.040 eV/atom. The value obtained for the magnetic moment is 0.000 μB/atom.

The structure belongs to space group Fm-3m (No. 225); the cell edges are 6.708, 6.708 and 6.708 Å and the angles 90.00°, 90.00° and 90.00°. The inequivalent atoms are Hf at (0.250, 0.250, 0.250), As at (0.000, 0.000, 0.000) and Br at (0.000, 0.000, 0.500).

Record 16
An optimized crystal structure of LiMnCl4, computed with PBE.

The uncorrected formation energy is -727 kJ/mol of formula units. Its uncorrected energy is -4.334 eV/atom. The value obtained for the magnetic moment is 0.667 μB/atom.

The structure belongs to space group P-1 (No. 2); the cell edges are 3.697, 6.211 and 6.698 Å and the angles 103.21°, 99.52° and 92.57°. The inequivalent atoms are Li at (0.000, 0.000, 0.000), Mn at (0.500, 0.500, 0.000), Cl at (0.139, 0.395, 0.217) and Cl at (0.427, 0.148, 0.798).

Record 17
An optimized crystal structure of Sc4Te, computed with PBE.

The uncorrected formation energy is 20 kJ/mol of formula units. Its uncorrected energy is -5.652 eV/atom. The value obtained for the magnetic moment is 0.336 μB/atom.

The structure belongs to space group I4/mmm (No. 139); the cell edges are 3.843, 3.843 and 17.644 Å and the angles 90.00°, 90.00° and 90.00°. The inequivalent atoms are Sc at (0.000, 0.000, 0.096), Sc at (0.000, 0.500, 0.250) and Te at (0.000, 0.000, 0.500).

Record 18
An optimized crystal structure of Dy2P4O13, computed with PBE.

The uncorrected formation energy is -4879 kJ/mol of formula units. Its uncorrected energy is -7.677 eV/atom. The value obtained for the magnetic moment is 0.000 μB/atom.

The structure belongs to space group C2/c (No. 15); the cell edges are 11.948, 6.826 and 13.011 Å and the angles 90.00°, 106.49° and 90.00°. The inequivalent atoms are Dy at (0.193, 0.004, 0.050), P at (0.011, 0.340, 0.866), P at (0.236, 0.487, 0.661), O at (0.000, 0.244, 0.750), O at (0.006, 0.170, 0.941), O at (0.100, 0.479, 0.654), O at (0.111, 0.479, 0.897), O at (0.197, 0.008, 0.222), O at (0.237, 0.185, 0.404) and O at (0.249, 0.330, 0.096).

Record 19
An optimized crystal structure of MgTc2Se, computed with PBE.

The uncorrected formation energy is 194 kJ/mol of formula units. Its uncorrected energy is -5.951 eV/atom. The value obtained for the magnetic moment is 0.000 μB/atom.

The structure belongs to space group I-42d (No. 122); the cell edges are 7.504, 7.504 and 5.095 Å and the angles 90.00°, 90.00° and 90.00°. The inequivalent atoms are Mg at (0.000, 0.000, 0.000), Tc at (0.175, 0.250, 0.625) and Se at (0.000, 0.000, 0.500).

Record 20
An optimized crystal structure of Na3Li3In5, computed with PBE.

Its uncorrected energy is -2.104 eV/atom. Its energy of formation is 0.022 eV/atom. The value obtained for the magnetic moment is 0.000 μB/atom.

The structure belongs to space group P-62m (No. 189); the cell edges are 8.5252, 8.5252 and 5.6669 Å and the angles 90.00°, 90.00° and 120.00°. The inequivalent atoms are Na at (0.0000, 0.4889, 0.0000), Li at (0.0000, 0.6598, 0.5000), In at (0.0000, 0.2928, 0.5000) and In at (0.3333, 0.6667, 0.5000).